{
  "formula": "YAl9Rh2",
  "functional": "GGA-PBE",
  "state": "relaxed",
  "delta_e_f_ev_per_atom": -0.54,
  "vol_a3_per_cell": 399,
  "space_group": "I4_1/amd",
  "dos_ef_per_ev_cell": 10.03,
  "magnetic_moment_mub_per_cell": 0.00,
  "lattice_angstrom": [[-0.715, -3.104, 6.080], [3.011, -7.792, 0.250], [6.432, 1.141, 5.214]],
  "species": ["Al", "Rh", "Al", "Al", "Rh", "Al", "Al", "Al", "Al", "Al", "Al", "Rh", "Al", "Al", "Al", "Al", "Al", "Al", "Y", "Y", "Al", "Al", "Al", "Rh"],
  "frac_coords": [[0.314, 0.078, 0.680], [0.875, 0.250, 0.750], [0.744, 0.820, 0.578], [0.006, 0.922, 0.680], [0.875, 0.250, 0.250], [0.141, 0.180, 0.422], [0.750, 0.500, 0.500], [0.678, 0.180, 0.578], [0.072, 0.320, 0.922], [0.006, 0.680, 0.922], [0.000, 0.000, 0.000], [0.375, 0.750, 0.750], [0.678, 0.578, 0.180], [0.744, 0.578, 0.820], [0.609, 0.320, 0.078], [0.314, 0.680, 0.078], [0.141, 0.422, 0.180], [0.609, 0.078, 0.320], [0.500, 0.000, 0.000], [0.250, 0.500, 0.500], [0.436, 0.820, 0.422], [0.436, 0.422, 0.820], [0.072, 0.922, 0.320], [0.875, 0.750, 0.250]]
}

---

{
  "formula": "CoSn2Br2",
  "functional": "GGA-PBE",
  "state": "relaxed",
  "e_above_lowest_polymorph_ev_per_atom": 0.416,
  "vol_a3_per_cell": 146,
  "space_group": "I4/mmm",
  "dos_ef_per_ev_cell": 7.26,
  "magnetic_moment_mub_per_cell": 2.21,
  "lattice_angstrom": [[4.078, 0.000, 0.000], [0.000, 4.078, 0.000], [2.039, 2.039, 8.792]],
  "species": ["Sn", "Sn", "Br", "Co", "Br"],
  "frac_coords": [[0.250, 0.750, 0.500], [0.750, 0.250, 0.500], [0.592, 0.592, 0.817], [0.000, 0.000, 0.000], [0.408, 0.408, 0.183]]
}

---

{
  "formula": "Hf2CuBr",
  "functional": "GGA-PBE",
  "state": "relaxed",
  "e_above_lowest_polymorph_ev_per_atom": 0.000,
  "vol_a3_per_cell": 75,
  "space_group": "Fm-3m",
  "dos_ef_per_ev_cell": 2.33,
  "magnetic_moment_mub_per_cell": 0.00,
  "lattice_angstrom": [[0.000, 3.340, 3.340], [3.340, 0.000, 3.340], [3.340, 3.340, 0.000]],
  "species": ["Hf", "Cu", "Br", "Hf"],
  "frac_coords": [[0.250, 0.250, 0.250], [0.000, 0.000, 0.000], [0.500, 0.500, 0.500], [0.750, 0.750, 0.750]]
}

---

{
  "formula": "ScAuSeN2",
  "functional": "GGA-PBE",
  "state": "relaxed",
  "e_above_lowest_polymorph_ev_per_atom": 0.000,
  "vol_a3_per_cell": 95,
  "space_group": "P4/mmm",
  "dos_ef_per_ev_cell": 2.83,
  "magnetic_moment_mub_per_cell": 2.87,
  "lattice_angstrom": [[-0.494, -3.533, 2.075], [4.096, -0.369, 0.346], [-0.150, 2.853, 4.821]],
  "species": ["Sc", "N", "N", "Au", "Se"],
  "frac_coords": [[0.000, 0.000, 0.000], [0.500, 0.000, 0.000], [0.000, 0.500, 0.000], [0.500, 0.500, 0.500], [0.000, 0.000, 0.500]]
}

---

{
  "formula": "MnPCS",
  "functional": "GGA-PBE",
  "state": "relaxed",
  "e_above_lowest_polymorph_ev_per_atom": 0.135,
  "vol_a3_per_cell": 107,
  "space_group": "Amm2",
  "dos_ef_per_ev_cell": 0.69,
  "magnetic_moment_mub_per_cell": 0.00,
  "lattice_angstrom": [[2.963, 0.000, 0.000], [0.000, 3.131, 0.000], [0.000, 0.000, 11.519]],
  "species": ["Mn", "Mn", "C", "S", "P", "S", "P", "C"],
  "frac_coords": [[0.500, 0.500, 0.911], [0.500, 0.000, 0.411], [0.000, 0.000, 0.142], [0.000, 0.000, 0.285], [0.500, 0.500, 0.550], [0.000, 0.500, 0.785], [0.500, 0.000, 0.050], [0.000, 0.500, 0.642]]
}

---

{
  "formula": "Ac2AlGe6Pd",
  "functional": "GGA-PBE",
  "state": "relaxed",
  "delta_e_f_ev_per_atom": -0.38,
  "vol_a3_per_cell": 457,
  "space_group": "R-3m",
  "dos_ef_per_ev_cell": 10.25,
  "magnetic_moment_mub_per_cell": 0.00,
  "lattice_angstrom": [[-2.107, 5.702, 2.496], [-6.321, 0.732, 1.643], [-0.347, -1.879, 12.649]],
  "species": ["Ge", "Ge", "Ge", "Pd", "Ge", "Al", "Ge", "Ge", "Ge", "Al", "Ac", "Ac", "Ge", "Ge", "Ge", "Pd", "Ac", "Ac", "Ge", "Ge"],
  "frac_coords": [[0.940, 0.331, 0.398], [0.331, 0.331, 0.398], [0.331, 0.940, 0.398], [0.433, 0.433, 0.702], [0.353, 0.763, 0.122], [0.000, 0.000, 0.000], [0.669, 0.060, 0.602], [0.647, 0.237, 0.878], [0.763, 0.763, 0.122], [0.500, 0.500, 0.500], [0.115, 0.115, 0.656], [0.885, 0.885, 0.344], [0.669, 0.669, 0.602], [0.237, 0.237, 0.878], [0.763, 0.353, 0.122], [0.567, 0.567, 0.298], [0.709, 0.709, 0.874], [0.291, 0.291, 0.126], [0.060, 0.669, 0.602], [0.237, 0.647, 0.878]]
}

---

{
  "formula": "LiNiP4",
  "functional": "GGA-PBE",
  "state": "relaxed",
  "delta_e_f_ev_per_atom": 0.40,
  "vol_a3_per_cell": 89,
  "space_group": "F-43m",
  "dos_ef_per_ev_cell": 3.78,
  "magnetic_moment_mub_per_cell": 0.00,
  "lattice_angstrom": [[-3.086, -0.339, 3.934], [-4.827, 1.253, -0.487], [-3.534, -3.551, 0.114]],
  "species": ["P", "Ni", "P", "Li", "P", "P"],
  "frac_coords": [[0.369, 0.369, 0.892], [0.000, 0.000, 0.000], [0.892, 0.369, 0.369], [0.750, 0.750, 0.750], [0.369, 0.369, 0.369], [0.369, 0.892, 0.369]]
}

---

{
  "formula": "Pr2GdDy",
  "functional": "GGA-PBE",
  "state": "relaxed",
  "delta_e_f_ev_per_atom": 0.18,
  "e_above_lowest_polymorph_ev_per_atom": 0.168,
  "vol_a3_per_cell": 138,
  "space_group": "R-3m",
  "dos_ef_per_ev_cell": 7.57,
  "magnetic_moment_mub_per_cell": 7.13,
  "lattice_angstrom": [[-3.060, -1.476, -1.035], [-1.115, -3.017, 1.506], [-7.572, 5.162, 8.929]],
  "species": ["Gd", "Pr", "Pr", "Dy"],
  "frac_coords": [[0.500, 0.500, 0.500], [0.088, 0.088, 0.735], [0.912, 0.912, 0.265], [0.000, 0.000, 0.000]]
}